PBE with a Hubbard U Li2CoO2, optimized geometry; energy = -5.269 eV/atom; symmetry = P-3m1, No. 164
1.0
3.115 0.000 0.000
-1.557 2.697 0.000
0.000 0.000 5.041
Co Li O
1 2 2
Direct
0.000 0.000 0.000
0.667 0.333 0.360
0.333 0.667 0.640
0.333 0.667 0.239
0.667 0.333 0.761